# 1
! AsPt15, optimized geometry, DFT PBE; values from VASP
&SYSTEM
  ibrav = 0, nat = 32, ntyp = 2
/
ATOMIC_SPECIES
Pt 195.08 Pt.upf
As 74.92 As.upf
ATOMIC_POSITIONS angstrom
Pt 6.885 1.397 9.654
Pt 6.875 1.397 15.364
Pt 6.953 1.397 26.795
Pt 0.914 0.000 8.113
Pt 4.911 0.000 16.762
Pt 2.956 1.397 18.145
Pt 2.941 1.397 20.985
Pt 0.950 0.000 11.100
Pt 0.987 0.000 22.381
Pt 4.919 0.000 25.186
Pt 2.952 1.397 7.023
Pt 2.918 1.397 23.826
Pt 4.914 0.000 22.426
Pt 6.917 1.397 23.807
Pt 0.990 0.000 16.733
Pt 6.880 1.397 12.527
Pt 4.992 0.000 8.101
Pt 2.948 1.397 9.721
Pt 2.874 1.397 26.806
Pt 2.953 1.397 12.482
Pt 4.949 0.000 11.082
Pt 0.981 0.000 25.253
Pt 0.974 0.000 13.926
Pt 4.915 0.000 27.884
Pt 2.959 1.397 15.305
Pt 0.992 0.000 19.544
Pt 4.908 0.000 19.603
Pt 6.876 1.397 18.175
Pt 4.926 0.000 13.923
Pt 6.893 1.397 20.982
As 6.889 1.397 7.043
As 0.977 0.000 27.864
CELL_PARAMETERS angstrom
7.869 0.000 0.000
0.000 2.794 0.000
-0.002 0.000 34.908
! Raw total energy in eV/atom: -5.914
! Total magnetic moment in μB/cell: 0.09
! SG: P2_1/m
! Polymorph energy (0 for the lowest one) in eV per atom: 0.040
! Density in g cm⁻³: 12.99



# 2
! Li2HfZrTl2Pd2, optimized geometry, DFT PBE; values from VASP
&SYSTEM
  ibrav = 0, nat = 8, ntyp = 5
/
ATOMIC_SPECIES
Tl 204.38 Tl.upf
Pd 106.42 Pd.upf
Hf 178.49 Hf.upf
Zr 91.22 Zr.upf
Li 6.94 Li.upf
ATOMIC_POSITIONS angstrom
Tl 2.321 2.321 3.283
Tl 0.000 0.000 0.000
Pd 0.000 2.321 4.898
Pd 2.321 0.000 1.667
Hf 0.000 0.000 3.283
Zr 2.321 2.321 0.000
Li 0.000 2.321 1.643
Li 2.321 0.000 4.923
CELL_PARAMETERS angstrom
4.641 0.000 0.000
0.000 4.641 0.000
0.000 0.000 6.566
! Raw total energy in eV/atom: -5.052
! Total magnetic moment in μB/cell: 0.00
! SG: P-4m2
! Density in g cm⁻³: 10.63